Record 1
# MoI3Cl2 GGA-PBE optimized geometry
data_MoI3Cl2
_space_group_name_H-M_alt 'P 1'
_space_group_IT_number 1
_cell_length_a 6.606
_cell_length_b 7.203
_cell_length_c 10.124
_cell_angle_alpha 106.15
_cell_angle_beta 92.31
_cell_angle_gamma 113.21
loop_
_space_group_symop_operation_xyz
'x,y,z'
loop_
_atom_site_label
_atom_site_type_symbol
_atom_site_fract_x
_atom_site_fract_y
_atom_site_fract_z
Cl1 Cl 0.714 0.491 0.255
Cl2 Cl 0.111 0.132 0.355
Cl3 Cl 0.889 0.868 0.645
Cl4 Cl 0.287 0.509 0.745
I1 I 0.082 0.310 0.060
I2 I 0.545 0.922 0.162
I3 I 0.257 0.690 0.452
I4 I 0.743 0.311 0.548
I5 I 0.455 0.078 0.838
I6 I 0.918 0.691 0.940
Mo1 Mo 0.895 0.284 0.286
Mo2 Mo 0.105 0.716 0.714
# SG: P-1, No. 2
# E above lowest polymorph in eV per atom: 0.000
# E_tot in eV/atom: -3.569
# Theoretical density in g/cm3: 4.34

---

Record 2
# Mo4IN2Cl GGA-PBE optimized geometry
data_Mo4IN2Cl
_space_group_name_H-M_alt 'P 1'
_space_group_IT_number 1
_cell_length_a 3.288
_cell_length_b 3.288
_cell_length_c 13.101
_cell_angle_alpha 90.00
_cell_angle_beta 90.00
_cell_angle_gamma 120.00
loop_
_space_group_symop_operation_xyz
'x,y,z'
loop_
_atom_site_label
_atom_site_type_symbol
_atom_site_fract_x
_atom_site_fract_y
_atom_site_fract_z
Cl1 Cl 0.000 0.000 0.000
I1 I 0.667 0.333 0.500
Mo1 Mo 0.667 0.333 0.169
Mo2 Mo 0.000 0.000 0.318
Mo3 Mo 0.000 0.000 0.682
Mo4 Mo 0.667 0.333 0.831
N1 N 0.333 0.667 0.226
N2 N 0.333 0.667 0.774
# SG: P-6m2, No. 187
# E_tot in eV/atom: -7.699
# Theoretical density in g/cm3: 7.77

---

Record 3
# Nd4INCl4 GGA-PBE optimized geometry
data_Nd4INCl4
_space_group_name_H-M_alt 'P 1'
_space_group_IT_number 1
_cell_length_a 8.952
_cell_length_b 8.952
_cell_length_c 8.689
_cell_angle_alpha 105.46
_cell_angle_beta 105.46
_cell_angle_gamma 25.01
loop_
_space_group_symop_operation_xyz
'x,y,z'
loop_
_atom_site_label
_atom_site_type_symbol
_atom_site_fract_x
_atom_site_fract_y
_atom_site_fract_z
Cl1 Cl 0.833 0.833 0.174
Cl2 Cl 0.171 0.171 0.355
Cl3 Cl 0.829 0.829 0.645
Cl4 Cl 0.167 0.167 0.826
I1 I 0.500 0.500 0.000
N1 N 0.500 0.500 0.500
Nd1 Nd 0.000 0.000 0.307
Nd2 Nd 0.355 0.355 0.418
Nd3 Nd 0.645 0.645 0.582
Nd4 Nd 0.000 0.000 0.693
# SG: C2/m, No. 12
# E_tot in eV/atom: -5.392
# Theoretical density in g/cm3: 5.04

---

Record 4
# Nd2I2NCl GGA-PBE optimized geometry
data_Nd2I2NCl
_space_group_name_H-M_alt 'P 1'
_space_group_IT_number 1
_cell_length_a 9.688
_cell_length_b 9.688
_cell_length_c 12.620
_cell_angle_alpha 124.62
_cell_angle_beta 124.62
_cell_angle_gamma 24.52
loop_
_space_group_symop_operation_xyz
'x,y,z'
loop_
_atom_site_label
_atom_site_type_symbol
_atom_site_fract_x
_atom_site_fract_y
_atom_site_fract_z
Cl1 Cl 0.965 0.965 0.219
Cl2 Cl 0.035 0.035 0.781
I1 I 0.234 0.234 0.130
I2 I 0.655 0.655 0.497
I3 I 0.345 0.345 0.503
I4 I 0.766 0.766 0.870
N1 N 0.576 0.576 0.146
N2 N 0.424 0.424 0.854
Nd1 Nd 0.424 0.424 0.038
Nd2 Nd 0.136 0.136 0.274
Nd3 Nd 0.864 0.864 0.726
Nd4 Nd 0.576 0.576 0.962
# SG: C2/m, No. 12
# E_tot in eV/atom: -5.466
# Theoretical density in g/cm3: 4.91

---

Record 5
# Pr2Nd2I3NCl2 GGA-PBE optimized geometry
data_Pr2Nd2I3NCl2
_space_group_name_H-M_alt 'P 1'
_space_group_IT_number 1
_cell_length_a 9.574
_cell_length_b 9.574
_cell_length_c 8.762
_cell_angle_alpha 100.85
_cell_angle_beta 100.85
_cell_angle_gamma 23.93
loop_
_space_group_symop_operation_xyz
'x,y,z'
loop_
_atom_site_label
_atom_site_type_symbol
_atom_site_fract_x
_atom_site_fract_y
_atom_site_fract_z
Cl1 Cl 0.152 0.152 0.301
Cl2 Cl 0.848 0.848 0.699
I1 I 0.825 0.825 0.188
I2 I 0.500 0.500 0.500
I3 I 0.175 0.175 0.812
N1 N 0.500 0.500 0.000
Nd1 Nd 0.633 0.633 0.065
Nd2 Nd 0.367 0.367 0.935
Pr1 Pr 0.999 0.999 0.194
Pr2 Pr 0.001 0.001 0.806
# SG: C2/m, No. 12
# E_tot in eV/atom: -5.111
# Theoretical density in g/cm3: 5.38

---

Record 6
# Pr2Sm2I3NCl2 GGA-PBE optimized geometry
data_Pr2Sm2I3NCl2
_space_group_name_H-M_alt 'P 1'
_space_group_IT_number 1
_cell_length_a 9.508
_cell_length_b 9.508
_cell_length_c 8.764
_cell_angle_alpha 100.30
_cell_angle_beta 100.30
_cell_angle_gamma 24.06
loop_
_space_group_symop_operation_xyz
'x,y,z'
loop_
_atom_site_label
_atom_site_type_symbol
_atom_site_fract_x
_atom_site_fract_y
_atom_site_fract_z
Cl1 Cl 0.153 0.153 0.292
Cl2 Cl 0.847 0.847 0.708
I1 I 0.824 0.824 0.186
I2 I 0.500 0.500 0.500
I3 I 0.176 0.176 0.814
N1 N 0.500 0.500 0.000
Pr1 Pr 0.998 0.998 0.193
Pr2 Pr 0.002 0.002 0.807
Sm1 Sm 0.632 0.632 0.061
Sm2 Sm 0.368 0.368 0.939
# SG: C2/m, No. 12
# E_tot in eV/atom: -5.099
# Theoretical density in g/cm3: 5.48

---

Record 7
# PrSmINCl2 GGA-PBE optimized geometry
data_PrSmINCl2
_space_group_name_H-M_alt 'P 1'
_space_group_IT_number 1
_cell_length_a 8.628
_cell_length_b 8.628
_cell_length_c 11.366
_cell_angle_alpha 118.14
_cell_angle_beta 118.14
_cell_angle_gamma 27.40
loop_
_space_group_symop_operation_xyz
'x,y,z'
loop_
_atom_site_label
_atom_site_type_symbol
_atom_site_fract_x
_atom_site_fract_y
_atom_site_fract_z
Cl1 Cl 0.214 0.214 0.101
Cl2 Cl 0.947 0.947 0.232
Cl3 Cl 0.053 0.053 0.768
Cl4 Cl 0.786 0.786 0.899
I1 I 0.352 0.352 0.479
I2 I 0.648 0.648 0.521
N1 N 0.572 0.572 0.147
N2 N 0.428 0.428 0.853
Pr1 Pr 0.132 0.132 0.277
Pr2 Pr 0.868 0.868 0.723
Sm1 Sm 0.415 0.415 0.045
Sm2 Sm 0.585 0.585 0.955
# SG: C2/m, No. 12
# E_tot in eV/atom: -5.740
# Theoretical density in g/cm3: 4.91

---

Record 8
# Sm4I3NCl2 GGA-PBE optimized geometry
data_Sm4I3NCl2
_space_group_name_H-M_alt 'P 1'
_space_group_IT_number 1
_cell_length_a 9.419
_cell_length_b 9.419
_cell_length_c 8.578
_cell_angle_alpha 100.13
_cell_angle_beta 100.13
_cell_angle_gamma 23.96
loop_
_space_group_symop_operation_xyz
'x,y,z'
loop_
_atom_site_label
_atom_site_type_symbol
_atom_site_fract_x
_atom_site_fract_y
_atom_site_fract_z
Cl1 Cl 0.150 0.150 0.301
Cl2 Cl 0.850 0.850 0.699
I1 I 0.825 0.825 0.194
I2 I 0.500 0.500 0.500
I3 I 0.175 0.175 0.806
N1 N 0.500 0.500 0.000
Sm1 Sm 0.633 0.633 0.063
Sm2 Sm 0.998 0.998 0.192
Sm3 Sm 0.002 0.002 0.808
Sm4 Sm 0.367 0.367 0.937
# SG: C2/m, No. 12
# E_tot in eV/atom: -5.083
# Theoretical density in g/cm3: 5.83

---

Record 9
# Sm2INCl2 GGA-PBE optimized geometry
data_Sm2INCl2
_space_group_name_H-M_alt 'P 1'
_space_group_IT_number 1
_cell_length_a 8.939
_cell_length_b 8.939
_cell_length_c 11.071
_cell_angle_alpha 121.15
_cell_angle_beta 121.15
_cell_angle_gamma 25.80
loop_
_space_group_symop_operation_xyz
'x,y,z'
loop_
_atom_site_label
_atom_site_type_symbol
_atom_site_fract_x
_atom_site_fract_y
_atom_site_fract_z
Cl1 Cl 0.210 0.210 0.114
Cl2 Cl 0.326 0.326 0.484
Cl3 Cl 0.674 0.674 0.516
Cl4 Cl 0.790 0.790 0.886
I1 I 0.949 0.949 0.286
I2 I 0.051 0.051 0.714
N1 N 0.573 0.573 0.159
N2 N 0.427 0.427 0.841
Sm1 Sm 0.418 0.418 0.042
Sm2 Sm 0.136 0.136 0.294
Sm3 Sm 0.864 0.864 0.706
Sm4 Sm 0.582 0.582 0.958
# SG: C2/m, No. 12
# E above lowest polymorph in eV per atom: 0.020
# E_tot in eV/atom: -5.712
# Theoretical density in g/cm3: 5.22

---

Record 10
# Sm2INCl2 GGA-PBE optimized geometry
data_Sm2INCl2
_space_group_name_H-M_alt 'P 1'
_space_group_IT_number 1
_cell_length_a 8.430
_cell_length_b 8.430
_cell_length_c 11.177
_cell_angle_alpha 117.74
_cell_angle_beta 117.74
_cell_angle_gamma 27.71
loop_
_space_group_symop_operation_xyz
'x,y,z'
loop_
_atom_site_label
_atom_site_type_symbol
_atom_site_fract_x
_atom_site_fract_y
_atom_site_fract_z
Cl1 Cl 0.053 0.053 0.262
Cl2 Cl 0.782 0.782 0.396
Cl3 Cl 0.218 0.218 0.604
Cl4 Cl 0.947 0.947 0.738
I1 I 0.648 0.648 0.021
I2 I 0.352 0.352 0.979
N1 N 0.427 0.427 0.350
N2 N 0.573 0.573 0.650
Sm1 Sm 0.869 0.869 0.223
Sm2 Sm 0.587 0.587 0.454
Sm3 Sm 0.413 0.413 0.546
Sm4 Sm 0.131 0.131 0.777
# SG: C2/m, No. 12
# E above lowest polymorph in eV per atom: 0.000
# E_tot in eV/atom: -5.732
# Theoretical density in g/cm3: 5.25

---

Record 11
# Sm2INCl2 GGA-PBE optimized geometry
data_Sm2INCl2
_space_group_name_H-M_alt 'P 1'
_space_group_IT_number 1
_cell_length_a 9.408
_cell_length_b 9.408
_cell_length_c 12.118
_cell_angle_alpha 126.26
_cell_angle_beta 126.26
_cell_angle_gamma 24.45
loop_
_space_group_symop_operation_xyz
'x,y,z'
loop_
_atom_site_label
_atom_site_type_symbol
_atom_site_fract_x
_atom_site_fract_y
_atom_site_fract_z
Cl1 Cl 0.332 0.332 0.011
Cl2 Cl 0.033 0.033 0.270
Cl3 Cl 0.967 0.967 0.730
Cl4 Cl 0.668 0.668 0.989
I1 I 0.755 0.755 0.352
I2 I 0.245 0.245 0.648
N1 N 0.421 0.421 0.346
N2 N 0.579 0.579 0.654
Sm1 Sm 0.858 0.858 0.210
Sm2 Sm 0.578 0.578 0.464
Sm3 Sm 0.422 0.422 0.536
Sm4 Sm 0.142 0.142 0.790
# SG: C2/m, No. 12
# E above lowest polymorph in eV per atom: 0.022
# E_tot in eV/atom: -5.710
# Theoretical density in g/cm3: 4.82

---

Record 12
# NbI3Cl2 GGA-PBE optimized geometry
data_NbI3Cl2
_space_group_name_H-M_alt 'P 1'
_space_group_IT_number 1
_cell_length_a 7.233
_cell_length_b 7.775
_cell_length_c 9.903
_cell_angle_alpha 68.35
_cell_angle_beta 87.96
_cell_angle_gamma 62.40
loop_
_space_group_symop_operation_xyz
'x,y,z'
loop_
_atom_site_label
_atom_site_type_symbol
_atom_site_fract_x
_atom_site_fract_y
_atom_site_fract_z
Cl1 Cl 0.797 0.156 0.042
Cl2 Cl 0.934 0.823 0.415
Cl3 Cl 0.066 0.177 0.585
Cl4 Cl 0.203 0.844 0.958
I1 I 0.871 0.621 0.154
I2 I 0.301 0.998 0.247
I3 I 0.448 0.417 0.328
I4 I 0.552 0.583 0.672
I5 I 0.699 0.002 0.753
I6 I 0.129 0.379 0.846
Nb1 Nb 0.098 0.788 0.216
Nb2 Nb 0.902 0.212 0.784
# SG: P-1, No. 2
# E above lowest polymorph in eV per atom: 0.008
# E_tot in eV/atom: -3.799
# Theoretical density in g/cm3: 4.00